Entry 1:
Here is an optimized crystal structure of LaPm2Sm from Alexandria via LeMat-Bulk. Energies are from PBE. Values from VASP.

## Properties
ΔE to the lowest computed polymorph, eV per atom: 0.000
N(E_F), states/eV/f.u.: 6.268
Energy of formation, eV per atom: 0.015

Geometry as Quantum ESPRESSO input:
```
&SYSTEM
  ibrav = 0, nat = 4, ntyp = 3
/
ATOMIC_SPECIES
Pm 145.00 Pm.upf
La 138.91 La.upf
Sm 150.36 Sm.upf
CELL_PARAMETERS angstrom
3.6699 0.0000 0.0000
1.8350 3.1782 0.0000
1.8350 1.0594 11.9970
ATOMIC_POSITIONS crystal
Pm 0.2488 0.2488 0.2536
Pm 0.7512 0.7512 0.7464
La 0.0000 0.0000 0.0000
Sm 0.5000 0.5000 0.5000
```

=====

Entry 2:
Here is an optimized crystal structure of La3PmSm3 from Alexandria via LeMat-Bulk. Energies are from PBE. Values from VASP.

## Properties
ΔE to the lowest computed polymorph, eV per atom: 0.000
N(E_F), states/eV/f.u.: 9.478
Energy of formation, eV per atom: 0.121

Geometry as Quantum ESPRESSO input:
```
&SYSTEM
  ibrav = 0, nat = 14, ntyp = 3
/
ATOMIC_SPECIES
Sm 150.36 Sm.upf
La 138.91 La.upf
Pm 145.00 Pm.upf
CELL_PARAMETERS angstrom
7.8260 -0.1411 3.1338
2.0701 7.5486 3.1338
-0.1885 -0.1411 8.4280
ATOMIC_POSITIONS crystal
Sm 0.0237 0.3087 0.4463
Sm 0.6913 0.5537 0.9763
Sm 0.4463 0.0237 0.3087
Sm 0.5537 0.9763 0.6913
Sm 0.3087 0.4463 0.0237
Sm 0.9763 0.6913 0.5537
La 0.8362 0.1269 0.2692
La 0.1638 0.8731 0.7308
La 0.2692 0.8362 0.1269
La 0.1269 0.2692 0.8362
La 0.7308 0.1638 0.8731
La 0.8731 0.7308 0.1638
Pm 0.4092 0.4092 0.4092
Pm 0.5908 0.5908 0.5908
```

=====

Which of these has the lowest energy of formation? LaPm2Sm

=====

Look up the energy of formation of the first one. 0.015 eV per atom